## Rb2FeMoF6 (PBE with a Hubbard U)

Data for a geometry-optimized Rb2FeMoF6 structure.

Geometry as CIF:
```
data_Rb2FeMoF6
_chemical_formula_sum 'Rb4 Fe2 Mo2 F12'
_cell_length_a 6.131
_cell_length_b 6.131
_cell_length_c 8.988
_cell_angle_alpha 90.00
_cell_angle_beta 90.00
_cell_angle_gamma 90.00
_symmetry_space_group_name_H-M 'I 4/m m m'
_symmetry_Int_Tables_number 139
_symmetry_space_group_name_Hall '-I 4 2'
loop_
_atom_site_label
_atom_site_fract_x
_atom_site_fract_y
_atom_site_fract_z
_atom_site_occupancy
Rb1 0.000 0.500 0.250 1
Fe1 0.000 0.000 0.000 1
Mo1 0.000 0.000 0.500 1
F1 0.000 0.000 0.266 1
F2 0.243 0.243 0.500 1
```

Density of states at the Fermi level ... 3.7 states/eV per cell
DFT total energy ... -98.9 eV for the cell shown